Record 1
Compound: InSnF3
Source: the Alexandria database
Functional: PBE
Structure: relaxed

Calculated values
total moment = 0.0 μB per cell
final energy = -20.5 eV/f.u.
raw formation energy = -1.63 eV/atom
density of states at the Fermi level = 1.4 states/eV/f.u.
calculated density = 5.26 g/cm³

a b c (Å): 4.5105 4.5105 4.5105
angles (deg): 90.00 90.00 90.00
Fractional coordinates of all 5 atoms:
1 In 0.0000 0.0000 0.0000
2 Sn 0.5000 0.5000 0.5000
3 F 0.0000 0.0000 0.5000
4 F 0.0000 0.5000 0.0000
5 F 0.5000 0.0000 0.0000

=====

Record 2
Compound: K2MoBr7
Source: the Alexandria database
Functional: PBE
Structure: relaxed

Calculated values
total moment = 2.7 μB per cell
final energy = -33.5 eV/f.u.
raw formation energy = -0.88 eV/atom
density of states at the Fermi level = 8.6 states/eV/f.u.
calculated density = 3.46 g/cm³

a b c (Å): 9.7109 9.7109 12.6853
angles (deg): 124.51 124.51 48.75
Fractional coordinates of all 20 atoms:
1 K 0.0462 0.7224 0.9654
2 K 0.2776 0.9538 0.5346
3 K 0.7224 0.0462 0.4654
4 K 0.9538 0.2776 0.0346
5 Mo 0.2743 0.7257 0.7500
6 Mo 0.7257 0.2743 0.2500
7 Br 0.0948 0.1040 0.2718
8 Br 0.1040 0.0948 0.7718
9 Br 0.1870 0.6417 0.4982
10 Br 0.2197 0.4586 0.7005
11 Br 0.3583 0.8130 0.0018
12 Br 0.3962 0.6038 0.2500
13 Br 0.4586 0.2197 0.2005
14 Br 0.5414 0.7803 0.7995
15 Br 0.6038 0.3962 0.7500
16 Br 0.6417 0.1870 0.9982
17 Br 0.7803 0.5414 0.2995
18 Br 0.8130 0.3583 0.5018
19 Br 0.8960 0.9052 0.2282
20 Br 0.9052 0.8960 0.7282

=====

Record 3
Compound: Re2PdW
Source: the Alexandria database
Functional: PBE
Structure: relaxed

Calculated values
total moment = 0.0 μB per cell
final energy = -42.8 eV/f.u.
relative energy among the computed polymorphs = 0 meV/atom
density of states at the Fermi level = 2.5 states/eV/f.u.
formation energy from the elements = 0.3 eV per formula unit
calculated density = 18.17 g/cm³

a b c (Å): 3.9263 3.9263 3.9297
angles (deg): 90.00 90.00 90.00
Fractional coordinates of all 4 atoms:
1 Re 0.0000 0.5000 0.0000
2 Re 0.5000 0.0000 0.0000
3 Pd 0.0000 0.0000 0.5000
4 W 0.5000 0.5000 0.5000

=====

Record 4
Compound: Pr2ZnGa3Pd4
Source: the Alexandria database
Functional: PBE
Structure: relaxed

Calculated values
total moment = 0.0 μB per cell
final energy = -48.3 eV/f.u.
density of states at the Fermi level = 6.4 states/eV/f.u.
formation energy from the elements = -7.7 eV per formula unit
calculated density = 8.32 g/cm³

a b c (Å): 4.3537 4.3537 10.3367
angles (deg): 90.00 90.00 90.00
Fractional coordinates of all 10 atoms:
1 Pr 0.0000 0.5000 0.2484
2 Pr 0.5000 0.0000 0.7516
3 Zn 0.0000 0.0000 0.5000
4 Ga 0.0000 0.5000 0.8727
5 Ga 0.5000 0.0000 0.1273
6 Ga 0.5000 0.5000 0.5000
7 Pd 0.0000 0.0000 0.0000
8 Pd 0.0000 0.5000 0.6312
9 Pd 0.5000 0.0000 0.3688
10 Pd 0.5000 0.5000 0.0000